No. 1
An optimized crystal structure of ZnNiPd6. Source: Alexandria, functional PBE.

POSCAR file:
```
ZnNiPd6
1.0
4.850 0.000 0.000
-0.236 5.049 0.000
-0.188 -0.307 5.066
Zn Ni Pd
1 1 6
direct
0.000 0.000 0.000
0.500 0.500 0.500
0.036 0.748 0.454
0.252 0.560 0.936
0.465 0.048 0.749
0.535 0.952 0.251
0.748 0.440 0.064
0.964 0.252 0.546
```

Its energy above the most stable polymorph in this dataset is 131 meV per atom. Its formation energy is -6 meV per atom.

No. 2
An optimized crystal structure of PrPuTc. Source: Alexandria, functional PBE.

POSCAR file:
```
PrPuTc
1.0
-1.779 1.779 5.721
1.779 -1.779 5.721
1.779 1.779 -5.721
Pr Pu Tc
1 1 1
direct
0.000 0.000 0.000
0.286 0.286 0.000
0.697 0.697 0.000
```

Its energy above the most stable polymorph in this dataset is 63 meV per atom. Its formation energy is 134 meV per atom.